Record 1
# PBE PuIn2Ge, relaxed
# DOS at the Fermi energy   2.478 states/eV per atom
# Relative energy among the computed polymorphs   0.000 eV/atom
data_PuIn2Ge
_cell_length_a 4.3825
_cell_length_b 4.3825
_cell_length_c 4.8597
_cell_angle_alpha 90.00
_cell_angle_beta 90.00
_cell_angle_gamma 90.00
_symmetry_space_group_name_H-M 'P 4/m m m'
_symmetry_Int_Tables_number 123
_symmetry_space_group_name_Hall '-P 4 2'
loop_
_atom_site_label
_atom_site_type_symbol
_atom_site_fract_x
_atom_site_fract_y
_atom_site_fract_z
Pu1 Pu 0.0000 0.0000 0.0000
In1 In 0.0000 0.5000 0.5000
Ge1 Ge 0.5000 0.5000 0.0000

=====

Record 2
# PBE Cd2AuBr, relaxed
# Energy relative to the elements, uncorrected   70 meV per atom
# DOS at the Fermi energy   1.170 states/eV per atom
# Relative energy among the computed polymorphs   0.323 eV/atom
data_Cd2AuBr
_cell_length_a 7.2386
_cell_length_b 7.2386
_cell_length_c 7.2386
_cell_angle_alpha 90.00
_cell_angle_beta 90.00
_cell_angle_gamma 90.00
_symmetry_space_group_name_H-M 'F m -3 m'
_symmetry_Int_Tables_number 225
_symmetry_space_group_name_Hall '-F 4 2 3'
loop_
_atom_site_label
_atom_site_type_symbol
_atom_site_fract_x
_atom_site_fract_y
_atom_site_fract_z
Cd1 Cd 0.2500 0.2500 0.2500
Au1 Au 0.0000 0.0000 0.0000
Br1 Br 0.0000 0.0000 0.5000

=====

Record 3
# PBE Re2SbMo, relaxed
# Energy relative to the elements, uncorrected   468 meV per atom
# DOS at the Fermi energy   0.679 states/eV per atom
data_Re2SbMo
_cell_length_a 2.9799
_cell_length_b 2.9799
_cell_length_c 26.2735
_cell_angle_alpha 90.00
_cell_angle_beta 90.00
_cell_angle_gamma 120.00
_symmetry_space_group_name_H-M 'R -3 m'
_symmetry_Int_Tables_number 166
_symmetry_space_group_name_Hall '-R 3 2"'
loop_
_atom_site_label
_atom_site_type_symbol
_atom_site_fract_x
_atom_site_fract_y
_atom_site_fract_z
Re1 Re 0.0000 0.0000 0.2461
Sb1 Sb 0.0000 0.0000 0.0000
Mo1 Mo 0.0000 0.0000 0.5000

=====

Record 4
# PBE Hf7Sn2N2, relaxed
# Energy relative to the elements, uncorrected   -501 meV per atom
# DOS at the Fermi energy   0.591 states/eV per atom
data_Hf7Sn2N2
_cell_length_a 10.6029
_cell_length_b 6.8928
_cell_length_c 5.8328
_cell_angle_alpha 90.00
_cell_angle_beta 94.84
_cell_angle_gamma 90.00
_symmetry_space_group_name_H-M 'C 1 2/m 1'
_symmetry_Int_Tables_number 12
loop_
_symmetry_equiv_pos_as_xyz
'x,y,z'
'-x,-y,-z'
'-x,y,-z'
'x,-y,z'
'x+1/2,y+1/2,z'
'-x+1/2,-y+1/2,-z'
'-x+1/2,y+1/2,-z'
'x+1/2,-y+1/2,z'
loop_
_atom_site_label
_atom_site_type_symbol
_atom_site_fract_x
_atom_site_fract_y
_atom_site_fract_z
Hf1 Hf 0.0000 0.0000 0.0000
Hf2 Hf 0.0747 0.5000 0.8110
Hf3 Hf 0.2122 0.2781 0.2291
Sn1 Sn 0.0000 0.1970 0.5000
N1 N 0.2228 0.0000 0.0199

=====

Record 5
# PBE Li2CeSe3, relaxed
# Energy relative to the elements, uncorrected   -1441 meV per atom
data_Li2CeSe3
_cell_length_a 7.0923
_cell_length_b 12.2778
_cell_length_c 6.8019
_cell_angle_alpha 90.00
_cell_angle_beta 110.47
_cell_angle_gamma 90.00
_symmetry_space_group_name_H-M 'C 1 2/m 1'
_symmetry_Int_Tables_number 12
loop_
_symmetry_equiv_pos_as_xyz
'x,y,z'
'-x,-y,-z'
'-x,y,-z'
'x,-y,z'
'x+1/2,y+1/2,z'
'-x+1/2,-y+1/2,-z'
'-x+1/2,y+1/2,-z'
'x+1/2,-y+1/2,z'
loop_
_atom_site_label
_atom_site_type_symbol
_atom_site_fract_x
_atom_site_fract_y
_atom_site_fract_z
Li1 Li 0.0000 0.0000 0.0000
Li2 Li 0.0000 0.1677 0.5000
Li3 Li 0.0000 0.5000 0.5000
Ce1 Ce 0.0000 0.3336 0.0000
Se1 Se 0.2479 0.3317 0.7484
Se2 Se 0.2478 0.5000 0.2562

=====

Record 6
# PBE Hf2ReHRh, relaxed
# DOS at the Fermi energy   0.323 states/eV per atom
# Relative energy among the computed polymorphs   0.000 eV/atom
data_Hf2ReHRh
_cell_length_a 4.5683
_cell_length_b 4.5683
_cell_length_c 3.4884
_cell_angle_alpha 90.00
_cell_angle_beta 90.00
_cell_angle_gamma 90.00
_symmetry_space_group_name_H-M 'P 4/m m m'
_symmetry_Int_Tables_number 123
_symmetry_space_group_name_Hall '-P 4 2'
loop_
_atom_site_label
_atom_site_type_symbol
_atom_site_fract_x
_atom_site_fract_y
_atom_site_fract_z
Hf1 Hf 0.0000 0.5000 0.0000
Re1 Re 0.0000 0.0000 0.5000
H1 H 0.5000 0.5000 0.0000
Rh1 Rh 0.5000 0.5000 0.5000

=====

Record 7
# PBE YMgMn2, relaxed
# Calculated total energy   -95.93 eV for the cell shown
# DOS at the Fermi energy   1.101 states/eV per atom
data_YMgMn2
_cell_length_a 7.5571
_cell_length_b 7.5571
_cell_length_c 5.9010
_cell_angle_alpha 90.00
_cell_angle_beta 90.00
_cell_angle_gamma 90.00
_symmetry_space_group_name_H-M 'I -4 2 d'
_symmetry_Int_Tables_number 122
_symmetry_space_group_name_Hall 'I -4 2bw'
loop_
_atom_site_label
_atom_site_type_symbol
_atom_site_fract_x
_atom_site_fract_y
_atom_site_fract_z
Y1 Y 0.0000 0.0000 0.0000
Mg1 Mg 0.0000 0.0000 0.5000
Mn1 Mn 0.2281 0.2500 0.6250

=====

Record 8
# PBE Ac4Ti6O19, relaxed
# Energy relative to the elements, uncorrected   -3082 meV per atom
# DOS at the Fermi energy   0.828 states/eV per atom
data_Ac4Ti6O19
_cell_length_a 9.1512
_cell_length_b 9.1512
_cell_length_c 9.1512
_cell_angle_alpha 90.00
_cell_angle_beta 90.00
_cell_angle_gamma 90.00
_symmetry_space_group_name_H-M 'I 2 3'
_symmetry_Int_Tables_number 197
_symmetry_space_group_name_Hall 'I 2 2 3'
loop_
_atom_site_label
_atom_site_type_symbol
_atom_site_fract_x
_atom_site_fract_y
_atom_site_fract_z
Ac1 Ac 0.1637 0.1637 0.1637
Ti1 Ti 0.0000 0.1599 0.5000
O1 O 0.0000 0.0000 0.0000
O2 O 0.0000 0.0000 0.3552
O3 O 0.0381 0.2880 0.6675

=====

Record 9
# PBE RbAcPaSe4, relaxed
# Energy relative to the elements, uncorrected   -1561 meV per atom
# DOS at the Fermi energy   0.688 states/eV per atom
data_RbAcPaSe4
_cell_length_a 8.7971
_cell_length_b 9.4659
_cell_length_c 13.0572
_cell_angle_alpha 90.00
_cell_angle_beta 90.00
_cell_angle_gamma 90.00
_symmetry_space_group_name_H-M 'I m m a'
_symmetry_Int_Tables_number 74
_symmetry_space_group_name_Hall '-I 2b 2'
loop_
_atom_site_label
_atom_site_type_symbol
_atom_site_fract_x
_atom_site_fract_y
_atom_site_fract_z
Rb1 Rb 0.0000 0.2500 0.1348
Ac1 Ac 0.0000 0.0000 0.5000
Pa1 Pa 0.2500 0.2500 0.7500
Se1 Se 0.0000 0.0497 0.7386
Se2 Se 0.2267 0.2500 0.5312

=====

Record 10
# PBE Rb2PdBr6, relaxed
# Energy relative to the elements, uncorrected   -957 meV per atom
data_Rb2PdBr6
_cell_length_a 10.6912
_cell_length_b 10.6912
_cell_length_c 10.6912
_cell_angle_alpha 90.00
_cell_angle_beta 90.00
_cell_angle_gamma 90.00
_symmetry_space_group_name_H-M 'F m -3 m'
_symmetry_Int_Tables_number 225
_symmetry_space_group_name_Hall '-F 4 2 3'
loop_
_atom_site_label
_atom_site_type_symbol
_atom_site_fract_x
_atom_site_fract_y
_atom_site_fract_z
Rb1 Rb 0.2500 0.2500 0.2500
Pd1 Pd 0.0000 0.0000 0.0000
Br1 Br 0.0000 0.0000 0.2351

=====

Record 11
# PBE SmRuC, relaxed
# DOS at the Fermi energy   0.372 states/eV per atom
# Relative energy among the computed polymorphs   0.107 eV/atom
data_SmRuC
_cell_length_a 3.3936
_cell_length_b 3.3936
_cell_length_c 4.8969
_cell_angle_alpha 90.00
_cell_angle_beta 90.00
_cell_angle_gamma 120.00
_symmetry_space_group_name_H-M 'P 3 m 1'
_symmetry_Int_Tables_number 156
loop_
_symmetry_equiv_pos_as_xyz
'x,y,z'
'-y,x-y,z'
'-x+y,-x,z'
'-y,-x,z'
'-x+y,y,z'
'x,x-y,z'
loop_
_atom_site_label
_atom_site_type_symbol
_atom_site_fract_x
_atom_site_fract_y
_atom_site_fract_z
Sm1 Sm 0.0000 0.0000 0.0000
Ru1 Ru 0.6667 0.3333 0.4751
C1 C 0.3333 0.6667 0.3471

=====

Record 12
# PBE LuZn2Ga, relaxed
# Calculated total energy   -33.24 eV for the cell shown
# DOS at the Fermi energy   0.436 states/eV per atom
data_LuZn2Ga
_cell_length_a 4.2304
_cell_length_b 4.2304
_cell_length_c 14.6269
_cell_angle_alpha 90.00
_cell_angle_beta 90.00
_cell_angle_gamma 120.00
_symmetry_space_group_name_H-M 'R -3 m'
_symmetry_Int_Tables_number 166
_symmetry_space_group_name_Hall '-R 3 2"'
loop_
_atom_site_label
_atom_site_type_symbol
_atom_site_fract_x
_atom_site_fract_y
_atom_site_fract_z
Lu1 Lu 0.0000 0.0000 0.0000
Zn1 Zn 0.0000 0.0000 0.2208
Ga1 Ga 0.0000 0.0000 0.5000

=====

no.,density (Mg/m³),total magnetization (μB/f.u.)
1,9.72,5.6
2,8.79,0.0
3,14.55,0.0
4,11.84,0.0
5,4.68,0.0
6,14.76,0.0
7,4.40,6.5
8,6.50,0.0
9,5.25,1.0
10,4.11,0.0
11,8.96,0.0
12,8.25,0.0